(1)
Compound: Ca2NiSeF
Source: the Alexandria database
Functional: SCAN
Structure: single point on PBEsol structure

## Properties
The calculation puts the energy relative to the elements, uncorrected at -1.0173 eV/atom.

Unit cell a=5.492 b=5.492 c=4.202 alpha=90.00 beta=90.00 gamma=90.00
Space group P4/mmm (No. 123)
Asymmetric unit:
Ca (0.000, 0.500, 0.000) (multiplicity 2)
Ni (0.000, 0.000, 0.500) (multiplicity 1)
Se (0.000, 0.000, 0.000) (multiplicity 1)
F (0.500, 0.500, 0.500) (multiplicity 1)

---

(2)
Compound: Mo2WSe2S4
Source: the Alexandria database
Functional: SCAN
Structure: single point on PBEsol structure

## Properties
The calculation puts the energy relative to the elements, uncorrected at -0.7878 eV/atom.

Unit cell a=3.1815 b=3.1815 c=19.7821 alpha=90.00 beta=90.00 gamma=120.00
Space group P-6m2 (No. 187)
Asymmetric unit:
Mo (0.0000, 0.0000, 0.1764) (multiplicity 2)
W (0.6667, 0.3333, 0.5000) (multiplicity 1)
Se (0.0000, 0.0000, 0.4134) (multiplicity 2)
S (0.6667, 0.3333, 0.0985) (multiplicity 2)
S (0.6667, 0.3333, 0.2545) (multiplicity 2)

---

(3)
Compound: InTcPt2
Source: the Alexandria database
Functional: SCAN
Structure: single point on PBEsol structure

## Properties
As for the energy of formation from the pure elements: -0.15 eV/atom.

Unit cell a=2.774 b=4.558 c=4.953 alpha=90.00 beta=90.00 gamma=90.00
Space group Pmm2 (No. 25)
Asymmetric unit:
In (0.000, 0.000, 0.000) (multiplicity 1)
Tc (0.000, 0.500, 0.357) (multiplicity 1)
Pt (0.500, 0.000, 0.493) (multiplicity 1)
Pt (0.500, 0.500, 0.832) (multiplicity 1)

---

(4)
Compound: ScFeBr2
Source: the Alexandria database
Functional: SCAN
Structure: single point on PBEsol structure

## Properties
The calculation puts the energy relative to the elements, uncorrected at -0.2012 eV/atom.

Unit cell a=4.512 b=4.512 c=3.414 alpha=90.00 beta=90.00 gamma=90.00
Space group P4/mmm (No. 123)
Asymmetric unit:
Sc (0.000, 0.000, 0.000) (multiplicity 1)
Fe (0.500, 0.500, 0.000) (multiplicity 1)
Br (0.000, 0.500, 0.500) (multiplicity 2)

---

Number 1: energy -12.84 eV/atom. Number 2: energy -25.02 eV/atom. Number 3: energy -52.36 eV/atom. Number 4: energy -18.02 eV/atom.